# SrYPt

A relaxed structure of SrYPt (GGA-PBE, the Alexandria database).

Summary:
The value obtained for the raw total energy is -32.5 eV/cell. The energy above the most stable polymorph in this dataset is 35 meV per atom. The value obtained for the energy of formation from the pure elements is -0.6959 eV/atom.

Cell lengths 3.668, 3.668, 13.294 Å; angles 90.00, 90.00, 90.00 degrees
Element x y z (fractional)
Sr  0.000  0.000  0.000
Sr  0.500  0.500  0.500
Y  0.000  0.000  0.744
Y  0.500  0.500  0.244
Pt  0.000  0.000  0.344
Pt  0.500  0.500  0.844